i.
{"formula": "GaAg2Bi2", "functional": "GGA-PBE", "state": "optimized geometry", "space_group": "P4/mbm, No. 127", "cell": [[8.7562, 0.0000, 0.0000], [0.0000, 8.7562, 0.0000], [0.0000, 0.0000, 3.3166]], "species": ["Ga", "Ga", "Ag", "Ag", "Ag", "Ag", "Bi", "Bi", "Bi", "Bi"], "fractional_positions": [[0.0000, 0.0000, 0.0000], [0.5000, 0.5000, 0.0000], [0.1264, 0.3736, 0.0000], [0.3736, 0.8736, 0.0000], [0.6264, 0.1264, 0.0000], [0.8736, 0.6264, 0.0000], [0.1697, 0.6697, 0.5000], [0.3303, 0.1697, 0.5000], [0.6697, 0.8303, 0.5000], [0.8303, 0.3303, 0.5000]]}

=====

ii.
{"formula": "GaAg2Bi2", "functional": "GGA-PBE", "state": "optimized geometry", "space_group": "I4/mmm, No. 139", "cell": [[3.8808, 0.0000, 0.0000], [0.0000, 3.8808, 0.0000], [0.0000, 0.0000, 16.8237]], "species": ["Ga", "Ga", "Ag", "Ag", "Ag", "Ag", "Bi", "Bi", "Bi", "Bi"], "fractional_positions": [[0.0000, 0.0000, 0.0000], [0.5000, 0.5000, 0.5000], [0.0000, 0.5000, 0.2500], [0.0000, 0.5000, 0.7500], [0.5000, 0.0000, 0.2500], [0.5000, 0.0000, 0.7500], [0.0000, 0.0000, 0.3932], [0.0000, 0.0000, 0.6068], [0.5000, 0.5000, 0.1068], [0.5000, 0.5000, 0.8932]]}

=====

Here is how they stack up, most stable first: ii, i.

=====

i.
{"formula": "Ga2AgBi2", "functional": "GGA-PBE", "state": "optimized geometry", "space_group": "P4/mbm, No. 127", "cell": [[7.0447, 0.0000, 0.0000], [0.0000, 7.0447, 0.0000], [0.0000, 0.0000, 4.9025]], "species": ["Ga", "Ga", "Ga", "Ga", "Ag", "Ag", "Bi", "Bi", "Bi", "Bi"], "fractional_positions": [[0.1294, 0.3706, 0.0000], [0.3706, 0.8706, 0.0000], [0.6294, 0.1294, 0.0000], [0.8706, 0.6294, 0.0000], [0.0000, 0.0000, 0.0000], [0.5000, 0.5000, 0.0000], [0.1992, 0.6992, 0.5000], [0.3008, 0.1992, 0.5000], [0.6992, 0.8008, 0.5000], [0.8008, 0.3008, 0.5000]]}

=====

ii.
{"formula": "Ga2AgBi2", "functional": "GGA-PBE", "state": "optimized geometry", "space_group": "P4/mbm, No. 127", "cell": [[8.7316, 0.0000, 0.0000], [0.0000, 8.7316, 0.0000], [0.0000, 0.0000, 3.4457]], "species": ["Ga", "Ga", "Ga", "Ga", "Ag", "Ag", "Bi", "Bi", "Bi", "Bi"], "fractional_positions": [[0.1110, 0.3890, 0.0000], [0.3890, 0.8890, 0.0000], [0.6110, 0.1110, 0.0000], [0.8890, 0.6110, 0.0000], [0.0000, 0.0000, 0.5000], [0.5000, 0.5000, 0.5000], [0.1886, 0.6886, 0.5000], [0.3114, 0.1886, 0.5000], [0.6886, 0.8114, 0.5000], [0.8114, 0.3114, 0.5000]]}

=====

iii.
{"formula": "Ga2AgBi2", "functional": "GGA-PBE", "state": "optimized geometry", "space_group": "I4/mmm, No. 139", "cell": [[3.6654, 0.0000, 0.0000], [0.0000, 3.6654, 0.0000], [0.0000, 0.0000, 18.6061]], "species": ["Ga", "Ga", "Ga", "Ga", "Ag", "Ag", "Bi", "Bi", "Bi", "Bi"], "fractional_positions": [[0.0000, 0.5000, 0.2500], [0.0000, 0.5000, 0.7500], [0.5000, 0.0000, 0.2500], [0.5000, 0.0000, 0.7500], [0.0000, 0.0000, 0.0000], [0.5000, 0.5000, 0.5000], [0.0000, 0.0000, 0.4011], [0.0000, 0.0000, 0.5989], [0.5000, 0.5000, 0.0989], [0.5000, 0.5000, 0.9011]]}

=====

Here is how they stack up, most stable first: i, iii, ii.

=====

i.
{"formula": "GaAgBi3", "functional": "GGA-PBE", "state": "optimized geometry", "space_group": "Pm-3m, No. 221", "cell": [[5.4887, 0.0000, 0.0000], [0.0000, 5.4887, 0.0000], [0.0000, 0.0000, 5.4887]], "species": ["Ga", "Ag", "Bi", "Bi", "Bi"], "fractional_positions": [[0.0000, 0.0000, 0.0000], [0.5000, 0.5000, 0.5000], [0.0000, 0.0000, 0.5000], [0.0000, 0.5000, 0.0000], [0.5000, 0.0000, 0.0000]]}

=====

ii.
{"formula": "GaAgBi3", "functional": "GGA-PBE", "state": "optimized geometry", "space_group": "Pm-3m, No. 221", "cell": [[5.5756, 0.0000, 0.0000], [0.0000, 5.5756, 0.0000], [0.0000, 0.0000, 5.5756]], "species": ["Ga", "Ag", "Bi", "Bi", "Bi"], "fractional_positions": [[0.0000, 0.0000, 0.0000], [0.5000, 0.5000, 0.5000], [0.0000, 0.5000, 0.5000], [0.5000, 0.0000, 0.5000], [0.5000, 0.5000, 0.0000]]}

=====

Here is how they stack up, most stable first: ii, i.

=====

i.
{"formula": "Ga4AgBi", "functional": "GGA-PBE", "state": "optimized geometry", "space_group": "C2/m, No. 12", "cell": [[6.4225, -3.1721, 0.0000], [6.4225, 3.1721, 0.0000], [-1.7605, 0.0000, 6.3539]], "species": ["Ga", "Ga", "Ga", "Ga", "Ga", "Ga", "Ga", "Ga", "Ag", "Ag", "Bi", "Bi"], "fractional_positions": [[0.1097, 0.7026, 0.3123], [0.2402, 0.7598, 0.0000], [0.2964, 0.2964, 0.8989], [0.2974, 0.8903, 0.6877], [0.7026, 0.1097, 0.3123], [0.7036, 0.7036, 0.1011], [0.7598, 0.2402, 0.0000], [0.8903, 0.2974, 0.6877], [0.4229, 0.4229, 0.6350], [0.5771, 0.5771, 0.3650], [0.2180, 0.2180, 0.2748], [0.7820, 0.7820, 0.7252]]}

=====

ii.
{"formula": "Ga4AgBi", "functional": "GGA-PBE", "state": "optimized geometry", "space_group": "F-43m, No. 216", "cell": [[0.0000, 4.0164, 4.0164], [4.0164, 0.0000, 4.0164], [4.0164, 4.0164, 0.0000]], "species": ["Ga", "Ga", "Ga", "Ga", "Ag", "Bi"], "fractional_positions": [[0.1242, 0.1242, 0.1242], [0.1242, 0.1242, 0.6274], [0.1242, 0.6274, 0.1242], [0.6274, 0.1242, 0.1242], [0.7500, 0.7500, 0.7500], [0.5000, 0.5000, 0.5000]]}

=====

Here is how they stack up, most stable first: i, ii.